Computed, not measured: Tb2Al8Pd after structural relaxation at the PBE-GGA level of DFT.

Summary:
E_form in meV/atom: -493
Total moment in μB/f.u.: 0.00
V in Å³/atom: 18.85

CIF file:
```
data_Tb2Al8Pd
_space_group_name_H-M_alt 'P 4/m m m'
_space_group_IT_number 123
_space_group_name_Hall '-P 4 2'
_cell_length_a 4.300
_cell_length_b 4.300
_cell_length_c 11.214
_cell_angle_alpha 90.00
_cell_angle_beta 90.00
_cell_angle_gamma 90.00
loop_
_atom_site_label
_atom_site_type_symbol
_atom_site_fract_x
_atom_site_fract_y
_atom_site_fract_z
Tb1 Tb 0.000 0.000 0.189
Al1 Al 0.000 0.500 0.000
Al2 Al 0.000 0.500 0.375
Al3 Al 0.500 0.500 0.195
Pd1 Pd 0.000 0.000 0.500
```